DFT (PBE-GGA) results for a relaxed structure of Sm2RhI2.

abc: 4.1630 4.1630 12.2414
angles: 100.82 100.82 59.98
Atoms (fractional coordinates):
Sm: 0.2151 0.2151 0.1319
Sm: 0.7849 0.7849 0.8681
Rh: 0.5000 0.5000 0.0000
I: 0.0511 0.0511 0.6863
I: 0.9489 0.9489 0.3137

## Properties
raw total energy: -25.197 eV/f.u.
space group: No. 12
spin magnetization: 0.0000 μB/atom
ΔE_f (raw): -1.061 eV per atom

DFT (PBE-GGA) results for a relaxed structure of Sm7RhI12.

abc: 9.9388 9.9388 9.9388
angles: 106.95 106.95 106.95
Atoms (fractional coordinates):
Sm: 0.0000 0.0000 0.0000
Sm: 0.2003 0.4027 0.4765
Sm: 0.4027 0.4765 0.2003
Sm: 0.4765 0.2003 0.4027
Sm: 0.5234 0.7997 0.5973
Sm: 0.5973 0.5234 0.7997
Sm: 0.7997 0.5973 0.5235
Rh: 0.5000 0.5000 0.5000
I: 0.0349 0.3399 0.1145
I: 0.1145 0.0349 0.3399
I: 0.1773 0.7256 0.5723
I: 0.2744 0.4277 0.8227
I: 0.3399 0.1145 0.0349
I: 0.4277 0.8227 0.2744
I: 0.5723 0.1773 0.7256
I: 0.6601 0.8855 0.9651
I: 0.7256 0.5723 0.1773
I: 0.8227 0.2744 0.4277
I: 0.8855 0.9651 0.6601
I: 0.9651 0.6601 0.8855

## Properties
raw total energy: -84.202 eV/f.u.
space group: No. 148
spin magnetization: 0.0001 μB/atom
ΔE_f (raw): -1.261 eV per atom

DFT (PBE-GGA) results for a relaxed structure of Sm4RhI5.

abc: 10.0889 10.0889 9.0970
angles: 102.55 102.55 23.87
Atoms (fractional coordinates):
Sm: 0.0001 0.0001 0.2042
Sm: 0.9999 0.9999 0.7958
Sm: 0.3547 0.3547 0.9236
Sm: 0.6453 0.6453 0.0764
Rh: 0.5000 0.5000 0.0000
I: 0.1679 0.1679 0.3464
I: 0.1761 0.1761 0.8279
I: 0.5000 0.5000 0.5000
I: 0.8239 0.8239 0.1721
I: 0.8321 0.8321 0.6536

## Properties
raw total energy: -45.612 eV/f.u.
space group: No. 12
spin magnetization: 0.0001 μB/atom
ΔE_f (raw): -1.163 eV per atom

DFT (PBE-GGA) results for a relaxed structure of Sm3RhI.

abc: 3.9332 9.5776 8.4847
angles: 90.00 90.00 90.00
Atoms (fractional coordinates):
Sm: 0.2500 0.0711 0.1565
Sm: 0.2500 0.2500 0.7648
Sm: 0.2500 0.4289 0.1565
Sm: 0.7500 0.5711 0.8435
Sm: 0.7500 0.7500 0.2352
Sm: 0.7500 0.9289 0.8435
Rh: 0.2500 0.7500 0.0114
Rh: 0.7500 0.2500 0.9886
I: 0.2500 0.7500 0.5625
I: 0.7500 0.2500 0.4375

## Properties
raw total energy: -26.132 eV/f.u.
space group: No. 59
spin magnetization: 0.0000 μB/atom
ΔE_f (raw): -0.615 eV per atom

DFT (PBE-GGA) results for a relaxed structure of SmThRhI.

abc: 8.5514 8.5514 8.5514
angles: 28.26 28.26 28.26
Atoms (fractional coordinates):
Sm: 0.0000 0.0000 0.0000
Th: 0.2129 0.2129 0.2129
Rh: 0.6022 0.6022 0.6022
I: 0.7722 0.7722 0.7722

## Properties
raw total energy: -24.589 eV/f.u.
space group: No. 160
spin magnetization: 0.0000 μB/atom
ΔE_f (raw): -0.887 eV per atom

DFT (PBE-GGA) results for a relaxed structure of SmTmRhI.

abc: 8.3173 8.3173 8.3173
angles: 28.37 28.37 28.37
Atoms (fractional coordinates):
Sm: 0.0000 0.0000 0.0000
Tm: 0.2123 0.2123 0.2123
Rh: 0.6030 0.6030 0.6030
I: 0.7749 0.7749 0.7749

## Properties
raw total energy: -21.822 eV/f.u.
space group: No. 160
spin magnetization: 0.0000 μB/atom
ΔE_f (raw): -0.932 eV per atom